This record from Alexandria via LeMat-Bulk describes PaVPb2O6 after structural relaxation. The functional is PBE+U.

a = 5.860 Å, b = 5.869 Å, c = 10.287 Å
α = 90.00°, β = 124.08°, γ = 90.00°
Positions (direct):
Pa: 0.000 0.000 0.000
Pa: 0.000 0.500 0.500
V: 0.500 0.000 0.500
V: 0.500 0.500 0.000
Pb: 0.267 0.034 0.756
Pb: 0.267 0.466 0.256
Pb: 0.733 0.534 0.744
Pb: 0.733 0.966 0.244
O: 0.188 0.201 0.471
O: 0.188 0.299 0.971
O: 0.282 0.712 0.476
O: 0.282 0.788 0.976
O: 0.320 0.019 0.254
O: 0.320 0.481 0.754
O: 0.680 0.519 0.246
O: 0.680 0.981 0.746
O: 0.718 0.212 0.024
O: 0.718 0.288 0.524
O: 0.812 0.701 0.029
O: 0.812 0.799 0.529

Calculated values
DOS(E_F)	0.00	states/eV/f.u.
electronic total energy	-7.6101	eV per atom
ρ	8.98	Mg/m³